[1]
The following is a GGA-PBE calculation of PuSc5Pt4 after structural relaxation, from Alexandria.

Cell lengths 3.2660, 3.2660, 18.2491 Å; angles 90.00, 90.00, 90.00 degrees
Last column: nearest neighbours and their distance in Å.
Atoms (fractional coordinates):
Pu: 0.0000 0.0000 0.0000  4 Pu 3.27, 8 Sc 3.35
Sc: 0.5000 0.5000 0.1331  4 Pt 2.83
Sc: 0.5000 0.5000 0.3146  8 Pt 2.85-2.86
Sc: 0.5000 0.5000 0.5000  8 Pt 2.87
Sc: 0.5000 0.5000 0.6854  8 Pt 2.85-2.86
Sc: 0.5000 0.5000 0.8669  4 Pt 2.83
Pt: 0.0000 0.0000 0.2224  8 Sc 2.83-2.86
Pt: 0.0000 0.0000 0.4062  8 Sc 2.85-2.87
Pt: 0.0000 0.0000 0.5938  8 Sc 2.85-2.87
Pt: 0.0000 0.0000 0.7776  8 Sc 2.83-2.86

## Properties
magnetic moment = 6.63 μB/f.u.
V = 195 Å³/f.u.
symmetry = P4/mmm (123)
formation enthalpy at 0 K = -931 kJ/mol of formula units

=====

[2]
The following is a GGA-PBE calculation of GdZnPt4 after structural relaxation, from Alexandria.

Cell lengths 5.3598, 5.3598, 5.3598 Å; angles 60.00, 60.00, 60.00 degrees
Last column: nearest neighbours and their distance in Å.
Atoms (fractional coordinates):
Zn: 0.0000 0.0000 0.0000  12 Pt 3.14, 4 Gd 3.28
Gd: 0.2500 0.2500 0.2500  12 Pt 3.14, 4 Zn 3.28
Pt: 0.6257 0.6257 0.1230  6 Pt 2.67-2.69
Pt: 0.6257 0.1230 0.6257  6 Pt 2.67-2.69
Pt: 0.6257 0.6257 0.6257  6 Pt 2.67-2.69
Pt: 0.1230 0.6257 0.6257  6 Pt 2.67-2.69

## Properties
magnetic moment = 6.94 μB/f.u.
V = 109 Å³/f.u.
symmetry = F-43m (216)
formation enthalpy at 0 K = -445 kJ/mol of formula units

=====

Repeat the first record exactly.
The following is a GGA-PBE calculation of PuSc5Pt4 after structural relaxation, from Alexandria.

Cell lengths 3.2660, 3.2660, 18.2491 Å; angles 90.00, 90.00, 90.00 degrees
Last column: nearest neighbours and their distance in Å.
Atoms (fractional coordinates):
Pu: 0.0000 0.0000 0.0000  4 Pu 3.27, 8 Sc 3.35
Sc: 0.5000 0.5000 0.1331  4 Pt 2.83
Sc: 0.5000 0.5000 0.3146  8 Pt 2.85-2.86
Sc: 0.5000 0.5000 0.5000  8 Pt 2.87
Sc: 0.5000 0.5000 0.6854  8 Pt 2.85-2.86
Sc: 0.5000 0.5000 0.8669  4 Pt 2.83
Pt: 0.0000 0.0000 0.2224  8 Sc 2.83-2.86
Pt: 0.0000 0.0000 0.4062  8 Sc 2.85-2.87
Pt: 0.0000 0.0000 0.5938  8 Sc 2.85-2.87
Pt: 0.0000 0.0000 0.7776  8 Sc 2.83-2.86

## Properties
magnetic moment = 6.63 μB/f.u.
V = 195 Å³/f.u.
symmetry = P4/mmm (123)
formation enthalpy at 0 K = -931 kJ/mol of formula units